# 1
The following is a PBE calculation of a relaxed Ta2HgSe crystal, from Alexandria via LeMat-Bulk.

Cell: 3.0922 4.7986 5.5142 Å, 90.00 106.18 90.00°
Fractional coordinates of all 4 atoms:
Ta1 0.0000 0.0000 0.0000
Ta2 0.3709 0.5000 0.7451
Hg1 0.6364 0.5000 0.2699
Se1 0.3010 0.0000 0.6005

Summary:
Energy relative to the elements, uncorrected ... 0.14 eV per atom
E above lowest polymorph ... 169 meV per atom

***

# 2
The following is a PBE calculation of a relaxed HfTiPb crystal, from Alexandria via LeMat-Bulk.

Cell: 8.1166 8.1166 5.2527 Å, 90.00 90.00 157.83°
Fractional coordinates of all 6 atoms:
Hf1 0.1721 0.8279 0.7500
Hf2 0.8279 0.1721 0.2500
Ti1 0.0000 0.0000 0.0000
Ti2 0.0000 0.0000 0.5000
Pb1 0.3599 0.6401 0.7500
Pb2 0.6401 0.3599 0.2500

Summary:
Energy relative to the elements ... 0.19 eV/atom
E above lowest polymorph ... 207 meV per atom

***

# 3
The following is a PBE calculation of a relaxed Fe2SbBr crystal, from Alexandria via LeMat-Bulk.

Cell: 3.3057 3.6932 6.5820 Å, 90.00 90.00 90.00°
Fractional coordinates of all 4 atoms:
Fe1 0.0000 0.0000 0.1806
Fe2 0.0000 0.0000 0.8194
Sb1 0.5000 0.5000 0.0000
Br1 0.5000 0.0000 0.5000

Summary:
Energy relative to the elements, uncorrected ... 0.26 eV per atom
E above lowest polymorph ... 193 meV per atom

***

# 4
The following is a PBE calculation of a relaxed PrDyZn2In2 crystal, from Alexandria via LeMat-Bulk.

Cell: 4.7117 4.7117 7.4828 Å, 90.00 90.00 120.00°
Fractional coordinates of all 6 atoms:
Pr1 0.0000 0.0000 0.0000
Dy1 0.0000 0.0000 0.5000
Zn1 0.3333 0.6667 0.2815
Zn2 0.6667 0.3333 0.7185
In1 0.3333 0.6667 0.7353
In2 0.6667 0.3333 0.2647

Summary:
Energy relative to the elements ... -0.45 eV/atom

***

# 5
The following is a PBE calculation of a relaxed PaSbMoRu crystal, from Alexandria via LeMat-Bulk.

Cell: 4.7684 4.7684 4.7684 Å, 60.00 60.00 60.00°
Fractional coordinates of all 4 atoms:
Pa1 0.0000 0.0000 0.0000
Sb1 0.5000 0.5000 0.5000
Mo1 0.7500 0.7500 0.7500
Ru1 0.2500 0.2500 0.2500

Summary:
Energy relative to the elements, uncorrected ... -0.15 eV per atom

***

# 6
The following is a PBE calculation of a relaxed ReTe3 crystal, from Alexandria via LeMat-Bulk.

Cell: 4.5233 4.5233 4.5233 Å, 90.00 90.00 90.00°
Fractional coordinates of all 4 atoms:
Re1 0.0000 0.0000 0.0000
Te1 0.0000 0.5000 0.5000
Te2 0.5000 0.0000 0.5000
Te3 0.5000 0.5000 0.0000

Summary:
Energy relative to the elements, uncorrected ... 1.24 eV per atom
E above lowest polymorph ... 1034 meV per atom

***

# 7
The following is a PBE calculation of a relaxed Na3PtO6 crystal, from Alexandria via LeMat-Bulk.

Cell: 5.8647 5.8647 9.7604 Å, 90.00 90.00 120.00°
Fractional coordinates of all 20 atoms:
Na1 0.0000 0.0000 0.0000
Na2 0.0000 0.0000 0.5000
Na3 0.3333 0.6667 0.0745
Na4 0.3333 0.6667 0.4255
Na5 0.6667 0.3333 0.5745
Na6 0.6667 0.3333 0.9255
Pt1 0.3333 0.6667 0.7500
Pt2 0.6667 0.3333 0.2500
O1 0.0751 0.3876 0.6350
O2 0.0751 0.6876 0.8650
O3 0.3124 0.3876 0.8650
O4 0.3124 0.9249 0.6350
O5 0.3876 0.0751 0.3650
O6 0.3876 0.3124 0.1350
O7 0.6124 0.6876 0.6350
O8 0.6124 0.9249 0.8650
O9 0.6876 0.0751 0.1350
O10 0.6876 0.6124 0.3650
O11 0.9249 0.3124 0.3650
O12 0.9249 0.6124 0.1350

Summary:
Energy relative to the elements, uncorrected ... -0.60 eV per atom

***

# 8
The following is a PBE calculation of a relaxed CdRh2Cl crystal, from Alexandria via LeMat-Bulk.

Cell: 6.4804 6.4804 4.6253 Å, 90.05 90.05 25.87°
Fractional coordinates of all 4 atoms:
Cd1 0.0000 0.0000 0.0000
Rh1 0.5584 0.5584 0.5001
Rh2 0.8859 0.8859 0.4998
Cl1 0.2268 0.2268 0.4984

Summary:
Energy relative to the elements, uncorrected ... 0.10 eV per atom
E above lowest polymorph ... 86 meV per atom

***

# 9
The following is a PBE calculation of a relaxed AlFeRh2 crystal, from Alexandria via LeMat-Bulk.

Cell: 4.4410 4.4410 4.7852 Å, 100.60 100.60 36.34°
Fractional coordinates of all 4 atoms:
Al1 0.0000 0.0000 0.0000
Fe1 0.5000 0.5000 0.5000
Rh1 0.2531 0.2531 0.7484
Rh2 0.7469 0.7469 0.2516

Summary:
Energy relative to the elements ... -0.38 eV/atom

***

# 10
The following is a PBE calculation of a relaxed TaNb3Re4 crystal, from Alexandria via LeMat-Bulk.

Cell: 3.2045 3.2045 12.8192 Å, 90.00 90.00 90.00°
Fractional coordinates of all 8 atoms:
Ta1 0.0000 0.0000 0.0000
Nb1 0.0000 0.0000 0.2501
Nb2 0.0000 0.0000 0.5000
Nb3 0.0000 0.0000 0.7499
Re1 0.5000 0.5000 0.1246
Re2 0.5000 0.5000 0.3750
Re3 0.5000 0.5000 0.6250
Re4 0.5000 0.5000 0.8754

Summary:
Energy relative to the elements ... -0.31 eV/atom

***

# 11
The following is a PBE calculation of a relaxed Na2Ti2As crystal, from Alexandria via LeMat-Bulk.

Cell: 6.7501 6.7501 4.7359 Å, 90.00 90.00 90.00°
Fractional coordinates of all 10 atoms:
Na1 0.1258 0.3742 0.0000
Na2 0.3742 0.8742 0.0000
Na3 0.6258 0.1258 0.0000
Na4 0.8742 0.6258 0.0000
Ti1 0.1945 0.6945 0.5000
Ti2 0.3055 0.1945 0.5000
Ti3 0.6945 0.8055 0.5000
Ti4 0.8055 0.3055 0.5000
As1 0.0000 0.0000 0.0000
As2 0.5000 0.5000 0.0000

Summary:
Energy relative to the elements ... 0.73 eV/atom
E above lowest polymorph ... 246 meV per atom

***

# 12
The following is a PBE calculation of a relaxed SrAgAs4 crystal, from Alexandria via LeMat-Bulk.

Cell: 5.7456 5.7456 5.7456 Å, 60.00 60.00 60.00°
Fractional coordinates of all 6 atoms:
Sr1 0.0000 0.0000 0.0000
Ag1 0.7500 0.7500 0.7500
As1 0.3778 0.3778 0.3778
As2 0.3778 0.3778 0.8666
As3 0.3778 0.8666 0.3778
As4 0.8666 0.3778 0.3778

Summary:
Energy relative to the elements ... -0.11 eV/atom

***

no.,magnetization (μB/cell)
1,0.00
2,0.00
3,5.17
4,0.00
5,0.00
6,0.00
7,10.06
8,0.16
9,3.23
10,0.00
11,9.59
12,0.00